(1)
A relaxed Hg4S12I crystal, computed with GGA-PBE.

Unit cell a=6.9807 b=8.2578 c=8.9176 alpha=78.82 beta=88.51 gamma=77.07
Sites, in units of the cell vectors:
Hg 0.0000 0.0000 0.0000
Hg 0.0000 0.5000 0.5000
Hg 0.5000 0.0000 0.5000
Hg 0.5000 0.5000 0.0000
S 0.0093 0.3698 0.1696
S 0.0489 0.9121 0.2790
S 0.1626 0.2104 0.6367
S 0.1958 0.4301 0.9035
S 0.3756 0.7503 0.6184
S 0.3884 0.6114 0.4541
S 0.6116 0.3886 0.5459
S 0.6244 0.2497 0.3816
S 0.8042 0.5699 0.0965
S 0.8374 0.7896 0.3633
S 0.9511 0.0879 0.7210
S 0.9907 0.6302 0.8304
I 0.5000 0.0000 0.0000

Properties
E_tot: -2.985 eV per atom
Density of states at the Fermi level: 0.4835 states/eV/atom

***

(2)
A relaxed Tb5Tm6Mg crystal, computed with GGA-PBE.

Unit cell a=9.2552 b=9.2552 c=9.2552 alpha=149.02 beta=115.08 gamma=73.67
Sites, in units of the cell vectors:
Tb 0.0000 0.0000 0.0000
Tb 0.1653 0.6653 0.5000
Tb 0.3329 0.3329 0.0000
Tb 0.6671 0.6671 0.0000
Tb 0.8347 0.3347 0.5000
Tm 0.0842 0.8325 0.2517
Tm 0.2504 0.5000 0.7504
Tm 0.4192 0.1675 0.2517
Tm 0.5808 0.8325 0.7483
Tm 0.7496 0.5000 0.2496
Tm 0.9158 0.1675 0.7483
Mg 0.5000 0.0000 0.5000

Properties
E_form: 27 meV/atom
Density of states at the Fermi level: 1.4261 states/eV/atom

***

(3)
A relaxed DyTmCo2 crystal, computed with GGA-PBE.

Unit cell a=3.8440 b=5.4842 c=7.4253 alpha=90.00 beta=90.00 gamma=90.00
Sites, in units of the cell vectors:
Dy 0.0000 0.1341 0.0000
Dy 0.0000 0.8659 0.5000
Tm 0.5000 0.3664 0.6443
Tm 0.5000 0.6336 0.1443
Co 0.0000 0.3550 0.3512
Co 0.0000 0.6450 0.8512
Co 0.5000 0.1533 0.2957
Co 0.5000 0.8467 0.7957

Properties
E_form: -233 meV/atom
Density of states at the Fermi level: 1.0821 states/eV/atom

***

(4)
A relaxed Pu3GeI3 crystal, computed with GGA-PBE.

Unit cell a=10.7346 b=10.7346 c=10.7346 alpha=109.47 beta=109.47 gamma=109.47
Sites, in units of the cell vectors:
Pu 0.0146 0.0292 0.2646
Pu 0.0146 0.4854 0.7500
Pu 0.0292 0.2646 0.0146
Pu 0.2354 0.2646 0.7500
Pu 0.2354 0.4708 0.4854
Pu 0.2646 0.0146 0.0292
Pu 0.2646 0.7500 0.2354
Pu 0.4708 0.4854 0.2354
Pu 0.4854 0.2354 0.4708
Pu 0.4854 0.7500 0.0146
Pu 0.7500 0.0146 0.4854
Pu 0.7500 0.2354 0.2646
Ge 0.0000 0.2500 0.5000
Ge 0.2500 0.2500 0.2500
Ge 0.2500 0.5000 0.0000
Ge 0.5000 0.0000 0.2500
I 0.2500 0.7564 0.7436
I 0.2500 0.9936 0.5064
I 0.5064 0.2500 0.9936
I 0.5064 0.7564 0.5128
I 0.5128 0.5064 0.7564
I 0.7436 0.2500 0.7564
I 0.7436 0.9936 0.9872
I 0.7564 0.5128 0.5064
I 0.7564 0.7436 0.2500
I 0.9872 0.7436 0.9936
I 0.9936 0.5064 0.2500
I 0.9936 0.9872 0.7436

Properties
E_tot: -8.253 eV per atom
Density of states at the Fermi level: 4.0761 states/eV/atom

***

(5)
A relaxed YRuF2 crystal, computed with GGA-PBE.

Unit cell a=4.3559 b=4.3559 c=4.3559 alpha=60.00 beta=60.00 gamma=60.00
Sites, in units of the cell vectors:
Y 0.0000 0.0000 0.0000
Ru 0.5000 0.5000 0.5000
F 0.2500 0.2500 0.2500
F 0.7500 0.7500 0.7500

Properties
E_tot: -6.051 eV per atom
Density of states at the Fermi level: 0.8534 states/eV/atom

***

(6)
A relaxed K2SrTa crystal, computed with GGA-PBE.

Unit cell a=3.5435 b=6.2556 c=6.9994 alpha=90.00 beta=90.00 gamma=90.00
Sites, in units of the cell vectors:
K 0.0000 0.0000 0.0000
K 0.5000 0.5000 0.0000
Sr 0.0000 0.5000 0.5000
Ta 0.5000 0.0000 0.5000

Properties
E_form: 1214 meV/atom
Density of states at the Fermi level: 1.0755 states/eV/atom